1.
Here is crystalline Zr2Pt at its relaxed geometry from Alexandria. Energies are from GGA-PBEsol.

```
data_Zr2Pt
_chemical_formula_sum 'Zr16 Pt8'
_cell_length_a 8.795
_cell_length_b 8.795
_cell_length_c 8.795
_cell_angle_alpha 60.00
_cell_angle_beta 60.00
_cell_angle_gamma 60.00
_symmetry_space_group_name_H-M 'P 1'
_symmetry_Int_Tables_number 1
loop_
_symmetry_equiv_pos_as_xyz
'x,y,z'
loop_
_atom_site_label
_atom_site_type_symbol
_atom_site_fract_x
_atom_site_fract_y
_atom_site_fract_z
Zr1 Zr 0.000 0.000 0.000
Zr2 Zr 0.000 0.000 0.500
Zr3 Zr 0.000 0.500 0.000
Zr4 Zr 0.187 0.187 0.563
Zr5 Zr 0.187 0.563 0.187
Zr6 Zr 0.187 0.563 0.563
Zr7 Zr 0.437 0.437 0.813
Zr8 Zr 0.437 0.813 0.437
Zr9 Zr 0.437 0.813 0.813
Zr10 Zr 0.500 0.000 0.000
Zr11 Zr 0.563 0.187 0.187
Zr12 Zr 0.563 0.187 0.563
Zr13 Zr 0.563 0.563 0.187
Zr14 Zr 0.813 0.437 0.437
Zr15 Zr 0.813 0.437 0.813
Zr16 Zr 0.813 0.813 0.437
Pt1 Pt 0.162 0.779 0.779
Pt2 Pt 0.221 0.221 0.221
Pt3 Pt 0.221 0.221 0.838
Pt4 Pt 0.221 0.838 0.221
Pt5 Pt 0.779 0.162 0.779
Pt6 Pt 0.779 0.779 0.162
Pt7 Pt 0.779 0.779 0.779
Pt8 Pt 0.838 0.221 0.221
```

Values from the calculation:
Its space group is Fd-3m, No. 227.


2.
Here is crystalline CdSe3 at its relaxed geometry from Alexandria. Energies are from GGA-PBEsol.

```
data_CdSe3
_chemical_formula_sum 'Cd4 Se12'
_cell_length_a 6.871
_cell_length_b 6.871
_cell_length_c 6.871
_cell_angle_alpha 90.00
_cell_angle_beta 90.00
_cell_angle_gamma 90.00
_symmetry_space_group_name_H-M 'P 1'
_symmetry_Int_Tables_number 1
loop_
_symmetry_equiv_pos_as_xyz
'x,y,z'
loop_
_atom_site_label
_atom_site_type_symbol
_atom_site_fract_x
_atom_site_fract_y
_atom_site_fract_z
Cd1 Cd 0.000 0.000 0.000
Cd2 Cd 0.000 0.500 0.500
Cd3 Cd 0.500 0.000 0.500
Cd4 Cd 0.500 0.500 0.000
Se1 Se 0.000 0.000 0.500
Se2 Se 0.000 0.500 0.000
Se3 Se 0.250 0.250 0.250
Se4 Se 0.250 0.250 0.750
Se5 Se 0.250 0.750 0.250
Se6 Se 0.250 0.750 0.750
Se7 Se 0.500 0.000 0.000
Se8 Se 0.500 0.500 0.500
Se9 Se 0.750 0.250 0.250
Se10 Se 0.750 0.250 0.750
Se11 Se 0.750 0.750 0.250
Se12 Se 0.750 0.750 0.750
```

Values from the calculation:
For the uncorrected formation energy, the calculation gives 1.11 eV per formula unit. Its space group is Fm-3m, No. 225.


3.
Here is crystalline Y5Sb3 at its relaxed geometry from Alexandria. Energies are from GGA-PBEsol.

```
data_Y5Sb3
_chemical_formula_sum 'Y10 Sb6'
_cell_length_a 8.870
_cell_length_b 8.870
_cell_length_c 6.223
_cell_angle_alpha 90.00
_cell_angle_beta 90.00
_cell_angle_gamma 120.00
_symmetry_space_group_name_H-M 'P 1'
_symmetry_Int_Tables_number 1
loop_
_symmetry_equiv_pos_as_xyz
'x,y,z'
loop_
_atom_site_label
_atom_site_type_symbol
_atom_site_fract_x
_atom_site_fract_y
_atom_site_fract_z
Y1 Y 0.000 0.248 0.250
Y2 Y 0.000 0.752 0.750
Y3 Y 0.248 0.000 0.250
Y4 Y 0.248 0.248 0.750
Y5 Y 0.333 0.667 0.000
Y6 Y 0.333 0.667 0.500
Y7 Y 0.667 0.333 0.000
Y8 Y 0.667 0.333 0.500
Y9 Y 0.752 0.000 0.750
Y10 Y 0.752 0.752 0.250
Sb1 Sb 0.000 0.389 0.750
Sb2 Sb 0.000 0.611 0.250
Sb3 Sb 0.389 0.000 0.750
Sb4 Sb 0.389 0.389 0.250
Sb5 Sb 0.611 0.000 0.250
Sb6 Sb 0.611 0.611 0.750
```

Values from the calculation:
For the uncorrected formation energy, the calculation gives -8.22 eV per formula unit. Its space group is P6_3/mcm, No. 193.


4.
Here is crystalline Ca2AlAg at its relaxed geometry from Alexandria. Energies are from GGA-PBEsol.

```
data_Ca2AlAg
_chemical_formula_sum 'Ca8 Al4 Ag4'
_cell_length_a 7.063
_cell_length_b 7.063
_cell_length_c 7.063
_cell_angle_alpha 90.00
_cell_angle_beta 90.00
_cell_angle_gamma 90.00
_symmetry_space_group_name_H-M 'P 1'
_symmetry_Int_Tables_number 1
loop_
_symmetry_equiv_pos_as_xyz
'x,y,z'
loop_
_atom_site_label
_atom_site_type_symbol
_atom_site_fract_x
_atom_site_fract_y
_atom_site_fract_z
Ca1 Ca 0.000 0.000 0.000
Ca2 Ca 0.000 0.500 0.500
Ca3 Ca 0.250 0.250 0.250
Ca4 Ca 0.250 0.750 0.750
Ca5 Ca 0.500 0.000 0.500
Ca6 Ca 0.500 0.500 0.000
Ca7 Ca 0.750 0.250 0.750
Ca8 Ca 0.750 0.750 0.250
Al1 Al 0.000 0.000 0.500
Al2 Al 0.000 0.500 0.000
Al3 Al 0.500 0.000 0.000
Al4 Al 0.500 0.500 0.500
Ag1 Ag 0.250 0.250 0.750
Ag2 Ag 0.250 0.750 0.250
Ag3 Ag 0.750 0.250 0.250
Ag4 Ag 0.750 0.750 0.750
```

Values from the calculation:
Its space group is F-43m, No. 216.


Number 1: final energy -218.2 eV for the cell shown. Number 2: final energy -46.5 eV for the cell shown. Number 3: final energy -112.0 eV for the cell shown. Number 4: final energy -49.4 eV for the cell shown.